[1]
The following is a GGA-PBEsol calculation of a relaxed structure of BeBTe2Ir, from Alexandria.

Structure (extended XYZ):
```
5
Lattice="4.0396 0.0000 0.0000 0.0000 4.8653 0.0000 0.0000 0.0000 4.8653" Properties=species:S:1:pos:R:3 pbc="T T T"
Be 0.0000 0.0000 0.0000
B 2.0198 2.4327 2.4327
Ir 2.0198 0.0000 0.0000
Te 0.0000 0.0000 2.4327
Te 0.0000 2.4327 0.0000
```

**SG**: P4/mmm, No. 123
**Crystal system**: tetragonal
**E_form (uncorrected)**: 1.4007 eV per atom

[2]
The following is a GGA-PBEsol calculation of a relaxed structure of Ti2BeBIr, from Alexandria.

Structure (extended XYZ):
```
5
Lattice="-0.6401 -1.4494 -3.6251 3.9670 0.7261 -0.9908 1.0284 -3.7953 1.3358" Properties=species:S:1:pos:R:3 pbc="T T T"
Be 2.1776 -2.2593 -1.6401
B 0.0000 0.0000 0.0000
Ir -0.3201 -0.7247 -1.8125
Ti 0.5142 -1.8977 0.6679
Ti 1.9835 0.3631 -0.4954
```

**SG**: P4/mmm, No. 123
**Crystal system**: tetragonal

[3]
The following is a GGA-PBEsol calculation of a relaxed structure of KBe2B3O7, from Alexandria.

Structure (extended XYZ):
```
26
Lattice="6.5337 0.0186 -0.0177 2.1542 6.5373 -0.0001 -2.1542 -0.3393 6.5285" Properties=species:S:1:pos:R:3 pbc="T T T"
K 4.9003 5.1201 5.3650
K 1.6334 1.0966 1.1457
Be 1.5749 3.8393 6.1545
Be 1.6920 5.9564 4.1446
Be 4.9588 2.3773 0.3562
Be 4.8418 0.2603 2.3661
B 1.6334 3.4098 3.5822
B 4.9003 2.8069 2.9285
B 5.5463 4.7276 1.4882
B 4.2543 1.2688 4.7719
B 0.9874 1.4890 5.0225
B 2.2795 4.9478 1.7388
O 1.6334 4.3553 4.5781
O 4.9003 1.8613 1.9326
O 5.2328 4.0036 0.3512
O 4.5678 0.1710 3.9899
O 1.3010 2.2131 6.1594
O 1.9659 6.0456 2.5208
O 5.2986 4.1160 2.7334
O 4.5020 2.5441 4.2257
O 1.2351 2.1006 3.7773
O 2.0317 3.6725 2.2849
O 6.0572 5.9642 1.4268
O 3.7434 1.1434 6.0037
O 0.4766 0.2524 5.0839
O 2.7903 5.0733 0.5070
```

**Energy above the most stable polymorph in this dataset**: 0.000 eV per atom
**SG**: C2/c, No. 15
**Crystal system**: monoclinic
**E_form (uncorrected)**: -2.5304 eV per atom

[4]
The following is a GGA-PBEsol calculation of a relaxed structure of KBe2B3O7, from Alexandria.

Structure (extended XYZ):
```
78
Lattice="-7.0239 1.6987 1.9860 0.9535 -0.5496 -9.3239 -3.0047 -12.9576 0.4565" Properties=species:S:1:pos:R:3 pbc="T T T"
K -5.8895 -6.2993 -0.6853
K -2.0374 -0.5577 -6.3705
K -6.8732 -10.8801 -0.5489
K -3.1698 -5.1023 -6.1854
K -7.5242 -5.1117 -7.0801
K -2.9529 -12.7429 0.4118
Be -0.9723 -5.3218 -3.6263
Be -8.9828 -10.2817 -3.1213
Be -7.9625 -5.9584 -3.1926
Be 0.0129 -0.9961 -3.8597
Be -5.3900 -6.5917 -3.9974
Be -2.5633 -0.3787 -3.0544
Be -3.5994 -4.6824 -2.9777
Be -6.3525 -10.9071 -3.7704
Be -4.3373 -2.2587 -4.1991
Be -4.6054 -8.9790 -2.7023
Be -6.9711 -1.6626 -3.4504
Be -1.9897 -9.6529 -3.4483
B -6.0484 -4.1225 -3.2919
B -3.9021 -11.4612 -3.4564
B -7.0667 -8.4334 -3.0691
B -1.8814 -2.8275 -3.8316
B -2.8921 -7.1762 -3.5730
B -5.0700 0.1674 -3.4775
B -5.7112 -7.6969 -6.3189
B -2.7246 -1.3548 -0.6596
B -7.7926 -8.2435 1.1190
B -1.2109 -3.2562 -8.0112
B -6.1745 -10.0429 -6.1989
B -3.3417 -3.6679 -0.6154
B -4.6336 -2.2984 -7.0331
B -4.3129 -8.9556 0.1322
B -6.7883 -2.8220 0.4526
B -2.7240 -10.8717 -7.2675
B -6.2215 -0.4779 0.2941
B -2.2001 -8.5122 -7.2747
O -1.6517 -6.7632 -4.0198
O -5.9956 1.1125 -3.0785
O -6.9578 -3.2008 -2.8404
O -2.6872 -11.0655 -3.9543
O -5.4270 -1.1403 -3.6822
O -3.1432 -8.4907 -3.2759
O -4.7754 -3.7506 -3.6570
O -4.8762 -10.5441 -3.1367
O -3.8845 -6.2239 -3.4827
O -3.7615 0.5781 -3.6157
O -6.4006 -5.4591 -3.3431
O -4.1726 -12.8098 -3.3106
O -5.7794 -8.0351 -3.3439
O -2.8581 -1.8865 -3.6039
O -7.9375 -7.4837 -2.5857
O -0.6894 -2.3919 -4.3638
O -7.4089 -9.7728 -3.1730
O -2.1612 -4.1707 -3.6331
O -8.2105 -8.2433 -0.1273
O -0.8162 -3.3565 -6.7614
O -7.3160 -7.0740 1.7515
O -1.1347 -2.0414 -8.7277
O -7.7701 -9.4405 1.8689
O -1.7689 -4.3686 -8.6797
O -5.4892 -6.5839 -5.6122
O -2.4457 -0.3075 -1.4424
O -5.3660 -8.9637 -5.8670
O -3.5985 -2.3680 -1.0312
O -6.3888 -11.0703 -5.3733
O -3.6137 -4.7375 -1.3671
O -4.1634 -2.3153 -5.7984
O -4.7618 -8.8464 -1.1057
O -4.5523 -1.1226 -7.8193
O -3.8568 -7.8141 0.8368
O -5.1393 -3.4688 -7.6500
O -4.3637 -10.1849 0.8337
O -6.1900 0.6138 -0.4734
O -1.7366 -7.4694 -6.5825
O -7.0428 -1.5466 -0.0131
O -1.9276 -9.8100 -6.8841
O -7.2613 -3.8848 -0.2030
O -2.7562 -11.9878 -6.5351
```

**Energy above the most stable polymorph in this dataset**: 0.005 eV per atom
**SG**: P2_1, No. 4
**Crystal system**: monoclinic
**E_form (uncorrected)**: -2.5256 eV per atom

[5]
The following is a GGA-PBEsol calculation of a relaxed structure of KBe2B3O7, from Alexandria.

Structure (extended XYZ):
```
52
Lattice="-1.0573 -3.8385 -1.8354 7.3404 -2.1207 0.2065 -2.4518 -6.9366 15.9160" Properties=species:S:1:pos:R:3 pbc="T T T"
K -0.9962 -2.8949 5.6819
K 1.4951 -7.7140 9.0894
K 3.1137 -2.7955 2.0660
K -2.8245 -8.5750 12.3391
Be 0.5081 -6.2005 6.2309
Be 3.2836 -7.0023 6.3090
Be -0.0620 -4.6001 8.4485
Be 4.5029 -5.9189 8.5770
Be 0.3761 -3.6464 -0.8088
Be 5.1215 -5.0174 -0.6753
Be -0.2883 -8.4555 14.8643
Be 2.3065 -9.2052 14.9373
B 2.3762 -4.8164 7.5259
B -1.9241 -5.9624 7.1639
B -0.3177 -1.1345 -0.3568
B 0.4195 -10.9164 14.4367
B 1.1500 -4.9687 4.1105
B 3.5079 -5.6499 4.1769
B -0.5372 -5.2263 10.8582
B 4.4455 -6.6658 10.9984
B 0.0374 -4.2946 1.8607
B 4.9237 -5.7062 1.9982
B 0.2765 -6.9864 12.5882
B 2.7305 -7.6953 12.6572
O 1.6681 -7.4012 6.1549
O -1.6094 -4.8061 7.8519
O 1.0408 -5.1092 7.3266
O 3.3585 -5.7788 7.3918
O -0.9079 -6.8286 6.8091
O 4.1148 -8.2797 6.9504
O -1.0440 -3.7713 -1.6176
O 0.7505 -9.7148 15.0115
O 0.6675 -2.0487 -0.6354
O 5.7179 -3.5078 -0.4933
O -0.8934 -11.1920 14.1463
O 1.3966 -11.8536 14.2107
O 0.1460 -5.4926 4.8252
O 4.0397 -6.6175 4.9347
O 0.2730 -5.4060 9.8073
O 3.7200 -6.4018 9.9042
O 2.4345 -4.8934 4.6640
O -2.5859 -8.0763 8.9781
O 1.0458 -4.4874 2.8119
O 3.9199 -5.3177 2.8928
O -0.5039 -5.9657 12.0334
O 3.9624 -7.2560 12.1590
O -1.2252 -4.0090 2.3801
O 1.6179 -6.9857 12.2057
O 0.3917 -4.3842 0.5810
O 4.6430 -5.6124 0.7006
O -0.3328 -7.8237 13.4240
O 2.7556 -8.7159 13.5109
```

**Energy above the most stable polymorph in this dataset**: 0.011 eV per atom
**SG**: Pmn2_1, No. 31
**Crystal system**: orthorhombic
**E_form (uncorrected)**: -2.5192 eV per atom

[6]
The following is a GGA-PBEsol calculation of a relaxed structure of LiBeB3, from Alexandria.

Structure (extended XYZ):
```
5
Lattice="-1.3677 3.2764 0.0797 -3.2688 -1.3700 0.2234 0.2368 0.0127 3.5434" Properties=species:S:1:pos:R:3 pbc="T T T"
Be 0.0000 0.0000 0.0000
B -1.6344 -0.6850 0.1117
B 0.1184 0.0064 1.7717
B -0.6839 1.6382 0.0398
Li -2.1998 0.9595 1.9232
```

**SG**: Pm-3m, No. 221
**Crystal system**: cubic

[7]
The following is a GGA-PBEsol calculation of a relaxed structure of LiBeB, from Alexandria.

Structure (extended XYZ):
```
6
Lattice="-0.9618 1.9524 -2.0464 0.4358 -2.5541 -2.6417 -5.3308 -1.1501 1.4081" Properties=species:S:1:pos:R:3 pbc="T T T"
Be -1.0480 -0.3213 -3.0850
Be -4.8087 -1.4305 -0.1950
B -0.8131 1.1341 -1.8067
B -5.0436 -2.8859 -1.4732
Li -3.8980 -1.2748 -2.6551
Li -1.9587 -0.4770 -0.6248
```

**SG**: P2_1/m, No. 11
**Crystal system**: monoclinic

[8]
The following is a GGA-PBEsol calculation of a relaxed structure of LiBeBO3, from Alexandria.

Structure (extended XYZ):
```
12
Lattice="-1.3430 2.5026 -3.6457 -0.9483 -2.1988 -4.0188 -5.7231 -0.8109 -0.7215" Properties=species:S:1:pos:R:3 pbc="T T T"
Be -5.9996 -1.3888 -4.8344
Be -2.0149 0.8817 -3.5516
B -4.8765 -1.3355 -2.4299
B -3.1380 0.8284 -5.9561
O -4.8916 -0.0092 -2.1505
O -3.1229 -0.4979 -6.2354
O -4.8689 -1.7833 -3.7378
O -3.1455 1.2762 -4.6481
O -6.1976 0.2452 -5.0135
O -1.8168 -0.7523 -3.3724
Li -4.9161 1.0395 -3.7094
Li -3.0984 -1.5466 -4.6766
```

**SG**: P-1, No. 2
**Crystal system**: triclinic
**E_form (uncorrected)**: -2.5229 eV per atom

[9]
The following is a GGA-PBEsol calculation of a relaxed structure of Mn2BeB2, from Alexandria.

Structure (extended XYZ):
```
10
Lattice="2.8003 0.0000 0.0000 0.0000 5.2046 0.0000 0.0000 0.0000 5.2046" Properties=species:S:1:pos:R:3 pbc="T T T"
Be 0.0000 0.0000 0.0000
Be 0.0000 2.6023 2.6023
B 0.0000 1.9758 4.5781
B 0.0000 4.5781 3.2288
B 0.0000 3.2288 0.6265
B 0.0000 0.6265 1.9758
Mn 1.4001 0.9065 3.5088
Mn 1.4001 3.5088 4.2981
Mn 1.4001 4.2981 1.6958
Mn 1.4001 1.6958 0.9065
```

**SG**: P4/mbm, No. 127
**Crystal system**: tetragonal

[10]
The following is a GGA-PBEsol calculation of a relaxed structure of BeBMo2, from Alexandria.

Structure (extended XYZ):
```
4
Lattice="-0.5755 -3.5706 1.6164 2.5993 -1.4274 2.6267 -1.0084 -0.3063 3.8187" Properties=species:S:1:pos:R:3 pbc="T T T"
Be 0.0000 0.0000 0.0000
Mo 0.2539 -1.3261 2.0154
Mo 0.7616 -3.9782 6.0463
B 0.5077 -2.6522 4.0309
```

**SG**: Fm-3m, No. 225
**Crystal system**: cubic

[11]
The following is a GGA-PBEsol calculation of a relaxed structure of Be2BMoRu, from Alexandria.

Structure (extended XYZ):
```
5
Lattice="-3.5122 0.6838 0.7650 -1.0250 -2.4607 -2.5064 0.0522 -2.9695 2.8940" Properties=species:S:1:pos:R:3 pbc="T T T"
Ru -2.2425 -2.3733 0.5763
Mo 0.0261 -1.4848 1.4470
B 0.0000 0.0000 0.0000
Be -0.5125 -1.2304 -1.2532
Be -1.7561 0.3419 0.3825
```

**SG**: P4/mmm, No. 123
**Crystal system**: tetragonal

[12]
The following is a GGA-PBEsol calculation of a relaxed structure of BeBN2O, from Alexandria.

Structure (extended XYZ):
```
5
Lattice="-1.7587 -1.0743 2.2364 0.7191 -3.3403 -1.0392 2.8235 -0.0722 2.1857" Properties=species:S:1:pos:R:3 pbc="T T T"
Be 0.0000 0.0000 0.0000
B 0.8919 -2.2434 1.6915
O -0.8793 -0.5372 1.1182
N 1.4117 -0.0361 1.0929
N 0.3595 -1.6702 -0.5196
```

**SG**: P4/mmm, No. 123
**Crystal system**: tetragonal
**E_form (uncorrected)**: 1.6311 eV per atom

[13]
The following is a GGA-PBEsol calculation of a relaxed structure of BeBNO2, from Alexandria.

Structure (extended XYZ):
```
5
Lattice="-2.0887 -0.0027 2.0278 1.9218 -0.9315 1.9783 1.2980 5.5325 1.3443" Properties=species:S:1:pos:R:3 pbc="T T T"
Be 0.0000 0.0000 0.0000
B 0.5655 2.2991 2.6752
O 0.9609 -0.4658 0.9891
O -1.0443 -0.0013 1.0139
N 0.6490 2.7662 0.6721
```

**SG**: P4/mmm, No. 123
**Crystal system**: tetragonal
**E_form (uncorrected)**: 0.7275 eV per atom

[14]
The following is a GGA-PBEsol calculation of a relaxed structure of BeBSe2N, from Alexandria.

Structure (extended XYZ):
```
5
Lattice="2.6428 0.0000 0.0000 0.0000 5.3424 0.0000 0.0000 0.0000 5.3424" Properties=species:S:1:pos:R:3 pbc="T T T"
Be 1.3214 2.6712 2.6712
B 0.0000 0.0000 0.0000
Se 0.0000 0.0000 2.6712
Se 0.0000 2.6712 0.0000
N 1.3214 0.0000 0.0000
```

**SG**: P4/mmm, No. 123
**Crystal system**: tetragonal
**E_form (uncorrected)**: 0.3900 eV per atom

[15]
The following is a GGA-PBEsol calculation of a relaxed structure of YBeBN2, from Alexandria.

Structure (extended XYZ):
```
5
Lattice="3.5555 0.0000 0.0000 0.0000 3.7144 0.0000 0.0000 0.0000 3.7144" Properties=species:S:1:pos:R:3 pbc="T T T"
Y 1.7777 1.8572 1.8572
Be 0.0000 0.0000 0.0000
B 1.7777 0.0000 0.0000
N 0.0000 0.0000 1.8572
N 0.0000 1.8572 0.0000
```

**SG**: P4/mmm, No. 123
**Crystal system**: tetragonal
**E_form (uncorrected)**: 0.2525 eV per atom

[16]
The following is a GGA-PBEsol calculation of a relaxed structure of NaBeB3O6, from Alexandria.

Structure (extended XYZ):
```
44
Lattice="-2.9128 -2.5777 2.0130 -3.3622 -2.5694 -8.1551 7.8050 -9.0947 -0.3524" Properties=species:S:1:pos:R:3 pbc="T T T"
Na -0.5206 -2.2170 -0.9013
Na 1.8619 -12.1919 -5.4627
Na 1.4232 -8.4371 -1.2894
Na -0.0819 -5.9718 -5.0746
Be -3.4568 -3.5713 -1.6762
Be 4.5269 -11.0777 -4.5004
Be 2.9667 -6.0162 -0.2765
Be -1.8967 -8.6328 -5.9001
B -2.0293 -5.7011 -1.8298
B 2.7888 -9.2228 -4.1321
B 4.5476 -8.0287 -0.0581
B -3.7882 -6.8951 -5.9039
B 0.8980 -4.5496 0.2172
B -0.8117 -10.9699 -5.7139
B 2.2126 -11.2505 -1.6969
B -2.1264 -4.2690 -3.7998
B 1.6926 -4.7193 -2.0878
B 0.3730 -9.0487 -4.7768
B 4.3266 -10.4119 -0.8018
B -2.2609 -3.3560 -6.0628
O -2.9612 -5.0060 -1.1741
O 3.0395 -10.5206 -4.3171
O 3.2971 -7.5772 -0.1753
O -3.2188 -7.9494 -5.3159
O -0.0663 -3.9001 0.9640
O 2.2642 -9.7507 -7.9201
O 3.8013 -8.2983 -3.8360
O -1.6034 -5.3525 -3.1200
O 1.6777 -5.5619 0.6798
O 0.9358 -7.7212 -7.9231
O 5.6029 -9.9160 -3.9803
O -2.9895 -3.3671 -3.2629
O 0.9234 -4.1031 -1.0952
O 0.3372 -10.3771 -5.2131
O 2.9924 -10.2275 -1.1795
O -1.7318 -4.2527 -5.1288
O -2.8159 -2.4482 -0.7147
O 4.7444 -11.4410 -6.0551
O 2.5815 -5.6772 -1.8040
O -0.6530 -8.2120 -4.9659
O -4.8178 -6.1091 -5.3814
O 4.9624 -9.3589 -0.1555
O 1.5346 -8.6083 -4.1543
O -1.3901 -6.8597 -1.3827
```

**SG**: Pna2_1, No. 33
**Crystal system**: orthorhombic
**E_form (uncorrected)**: -2.4588 eV per atom

no.,DFT total energy (eV/atom),magnetic moment (μB per cell)
1,-4.178,0.00
2,-7.675,0.00
3,-7.679,0.00
4,-7.674,0.00
5,-7.668,0.00
6,-4.120,0.00
7,-4.452,0.00
8,-7.311,0.00
9,-8.090,0.00
10,-8.435,0.00
11,-7.049,0.00
12,-5.033,0.43
13,-5.281,0.42
14,-5.059,0.00
15,-6.726,0.00
16,-7.727,0.00